[1]
VASP calculation (PBE) on an optimized crystal structure of CrPt4.

Cell lengths 4.5213, 4.5213, 4.5213 Å; angles 90.00, 90.00, 90.00 degrees
With the nearest neighbours (Å) after each atom.
Element x y z (fractional)
Cr 0.0000 0.0000 0.0000  6 Pt 2.26
Pt 0.0000 0.0000 0.5000  2 Cr 2.26
Pt 0.0000 0.5000 0.0000  2 Cr 2.26
Pt 0.5000 0.0000 0.0000  2 Cr 2.26
Pt 0.5000 0.5000 0.5000  12 Pt 3.20

energy of formation from the pure elements = 5.21 eV per formula unit
symmetry = Pm-3m, No. 221
magnetization = 0.000 μB/f.u.
calculated total energy = -28.58 eV for the cell shown
energy relative to the lowest polymorph listed for this composition = 1201 meV per atom



[2]
VASP calculation (PBE) on an optimized crystal structure of CrPt.

Cell lengths 4.4130, 4.4130, 10.6559 Å; angles 90.00, 90.00, 120.00 degrees
With the nearest neighbours (Å) after each atom.
Element x y z (fractional)
Cr 0.0000 0.0000 0.1255  4 Pt 2.60-2.67, 4 Cr 2.67-2.68
Cr 0.0000 0.0000 0.8745  4 Pt 2.60-2.67, 4 Cr 2.67-2.68
Cr 0.3333 0.6667 0.1989  4 Cr 2.54-2.67, 4 Pt 2.66-2.81
Cr 0.3333 0.6667 0.4377  1 Cr 2.54, 4 Pt 2.65-2.68
Cr 0.6667 0.3333 0.5623  1 Cr 2.54, 4 Pt 2.65-2.68
Cr 0.6667 0.3333 0.8011  4 Cr 2.54-2.67, 4 Pt 2.66-2.81
Pt 0.0000 0.0000 0.3699  4 Cr 2.60-2.65, 4 Pt 2.63-2.77
Pt 0.0000 0.0000 0.6301  4 Cr 2.60-2.65, 4 Pt 2.63-2.77
Pt 0.3333 0.6667 0.6896  4 Pt 2.63-2.76, 7 Cr 2.68-2.89
Pt 0.3333 0.6667 0.9489  4 Cr 2.66-2.67, 4 Pt 2.76-2.77
Pt 0.6667 0.3333 0.0511  4 Cr 2.66-2.67, 4 Pt 2.76-2.77
Pt 0.6667 0.3333 0.3104  4 Pt 2.63-2.76, 7 Cr 2.68-2.89

energy of formation from the pure elements = 0.06 eV per formula unit
symmetry = P-3m1, No. 164
magnetization = 0.981 μB/f.u.
calculated total energy = -93.65 eV for the cell shown



[3]
VASP calculation (PBE) on an optimized crystal structure of CrPt.

Cell lengths 2.7416, 2.7416, 25.8828 Å; angles 90.00, 90.00, 120.00 degrees
With the nearest neighbours (Å) after each atom.
Element x y z (fractional)
Cr 0.0000 0.0000 0.1294  9 Cr 2.50-2.74, 3 Pt 2.64
Cr 0.0000 0.0000 0.8706  9 Cr 2.50-2.74, 3 Pt 2.64
Cr 0.3333 0.6667 0.5373  9 Cr 2.50-2.74, 3 Pt 2.64
Cr 0.3333 0.6667 0.7960  9 Cr 2.50-2.74, 3 Pt 2.64
Cr 0.6667 0.3333 0.2040  9 Cr 2.50-2.74, 3 Pt 2.64
Cr 0.6667 0.3333 0.4627  9 Cr 2.50-2.74, 3 Pt 2.64
Pt 0.0000 0.0000 0.3812  3 Cr 2.64, 9 Pt 2.74-2.94
Pt 0.0000 0.0000 0.6188  3 Cr 2.64, 9 Pt 2.74-2.94
Pt 0.3333 0.6667 0.0479  3 Cr 2.64, 9 Pt 2.74-2.94
Pt 0.3333 0.6667 0.2854  3 Cr 2.64, 9 Pt 2.74-2.94
Pt 0.6667 0.3333 0.7146  3 Cr 2.64, 9 Pt 2.74-2.94
Pt 0.6667 0.3333 0.9521  3 Cr 2.64, 9 Pt 2.74-2.94

energy of formation from the pure elements = 0.08 eV per formula unit
symmetry = R-3m, No. 166
magnetization = 1.247 μB/f.u.
calculated total energy = -93.48 eV for the cell shown



[4]
VASP calculation (PBE) on an optimized crystal structure of Cr3Pt.

Cell lengths 7.0508, 7.0491, 4.3800 Å; angles 90.00, 90.00, 90.00 degrees
With the nearest neighbours (Å) after each atom.
Element x y z (fractional)
Cr 0.0000 0.0421 0.2500  4 Cr 2.27-2.37
Cr 0.0000 0.9579 0.7500  4 Cr 2.27-2.37
Cr 0.1711 0.2477 0.7500  4 Cr 2.37-2.46, 1 Pt 2.55
Cr 0.1711 0.7523 0.2500  4 Cr 2.37-2.46, 1 Pt 2.55
Cr 0.3289 0.2523 0.2500  4 Cr 2.37-2.46, 1 Pt 2.55
Cr 0.3289 0.7477 0.7500  4 Cr 2.37-2.46, 1 Pt 2.55
Cr 0.5000 0.4579 0.7500  4 Cr 2.27-2.37
Cr 0.5000 0.5421 0.2500  4 Cr 2.27-2.37
Cr 0.6711 0.2523 0.2500  4 Cr 2.37-2.46, 1 Pt 2.55
Cr 0.6711 0.7477 0.7500  4 Cr 2.37-2.46, 1 Pt 2.55
Cr 0.8289 0.2477 0.7500  4 Cr 2.37-2.46, 1 Pt 2.55
Cr 0.8289 0.7523 0.2500  4 Cr 2.37-2.46, 1 Pt 2.55
Pt 0.0000 0.4034 0.2500  9 Cr 2.55-2.74, 2 Pt 2.58
Pt 0.0000 0.5966 0.7500  9 Cr 2.55-2.74, 2 Pt 2.58
Pt 0.5000 0.0966 0.7500  9 Cr 2.55-2.74, 2 Pt 2.58
Pt 0.5000 0.9034 0.2500  9 Cr 2.55-2.74, 2 Pt 2.58

energy of formation from the pure elements = 1.52 eV per formula unit
symmetry = Cmcm, No. 63
magnetization = 0.009 μB/f.u.
calculated total energy = -133.56 eV for the cell shown



[5]
VASP calculation (PBE) on an optimized crystal structure of CrPt.

Cell lengths 4.5033, 4.5033, 7.1415 Å; angles 90.00, 90.00, 120.00 degrees
With the nearest neighbours (Å) after each atom.
Element x y z (fractional)
Cr 0.3333 0.6667 0.1189  1 Cr 1.87
Cr 0.3333 0.6667 0.3811  1 Cr 1.87
Cr 0.6667 0.3333 0.6189  1 Cr 1.87
Cr 0.6667 0.3333 0.8811  1 Cr 1.87
Pt 0.0000 0.0000 0.2500  3 Pt 2.60, 6 Cr 2.76
Pt 0.0000 0.0000 0.7500  3 Pt 2.60, 6 Cr 2.76
Pt 0.3333 0.6667 0.7500  3 Pt 2.60, 8 Cr 2.63-2.76
Pt 0.6667 0.3333 0.2500  3 Pt 2.60, 8 Cr 2.63-2.76

energy of formation from the pure elements = 0.55 eV per formula unit
symmetry = P6_3/mmc, No. 194
magnetization = 0.000 μB/f.u.
calculated total energy = -60.46 eV for the cell shown



[6]
VASP calculation (PBE) on an optimized crystal structure of CrPt.

Cell lengths 4.6682, 4.2668, 5.4549 Å; angles 90.00, 90.00, 90.00 degrees
With the nearest neighbours (Å) after each atom.
Element x y z (fractional)
Cr 0.0719 0.2500 0.1234  4 Cr 2.61-2.71, 8 Pt 2.64-2.77
Cr 0.4281 0.7500 0.6234  4 Cr 2.61-2.71, 8 Pt 2.64-2.77
Cr 0.5719 0.2500 0.3766  4 Cr 2.61-2.71, 8 Pt 2.64-2.77
Cr 0.9281 0.7500 0.8766  4 Cr 2.61-2.71, 8 Pt 2.64-2.77
Pt 0.0881 0.2500 0.6258  8 Cr 2.64-2.77, 4 Pt 2.67-2.70
Pt 0.4119 0.7500 0.1258  8 Cr 2.64-2.77, 4 Pt 2.67-2.70
Pt 0.5881 0.2500 0.8742  8 Cr 2.64-2.77, 4 Pt 2.67-2.70
Pt 0.9119 0.7500 0.3742  8 Cr 2.64-2.77, 4 Pt 2.67-2.70

energy of formation from the pure elements = -0.33 eV per formula unit
symmetry = Pnma, No. 62
magnetization = 0.000 μB/f.u.
calculated total energy = -63.97 eV for the cell shown



[7]
VASP calculation (PBE) on an optimized crystal structure of Cr3Pt.

Cell lengths 2.7520, 2.7520, 24.1202 Å; angles 90.00, 90.00, 120.00 degrees
With the nearest neighbours (Å) after each atom.
Element x y z (fractional)
Cr 0.0000 0.0000 0.0000  6 Cr 2.41
Cr 0.0000 0.0000 0.2581  3 Cr 2.41
Cr 0.0000 0.0000 0.7419  3 Cr 2.41
Cr 0.3333 0.6667 0.4086  3 Cr 2.41
Cr 0.3333 0.6667 0.6667  6 Cr 2.41
Cr 0.3333 0.6667 0.9248  3 Cr 2.41
Cr 0.6667 0.3333 0.0752  3 Cr 2.41
Cr 0.6667 0.3333 0.3333  6 Cr 2.41
Cr 0.6667 0.3333 0.5914  3 Cr 2.41
Pt 0.0000 0.0000 0.5000  6 Cr 2.72, 6 Pt 2.75
Pt 0.3333 0.6667 0.1667  6 Cr 2.72, 6 Pt 2.75
Pt 0.6667 0.3333 0.8333  6 Cr 2.72, 6 Pt 2.75

energy of formation from the pure elements = 0.74 eV per formula unit
symmetry = R-3m, No. 166
magnetization = 2.081 μB/f.u.
calculated total energy = -102.50 eV for the cell shown



[8]
VASP calculation (PBE) on an optimized crystal structure of CrPt3.

Cell lengths 2.8028, 3.8332, 5.5923 Å; angles 90.00, 90.08, 90.00 degrees
With the nearest neighbours (Å) after each atom.
Element x y z (fractional)
Cr 0.0000 0.0000 0.0000  10 Pt 2.72-2.80, 2 Cr 2.80
Pt 0.0000 0.0000 0.5000  10 Pt 2.78-2.80, 2 Cr 2.80
Pt 0.4991 0.5000 0.2399  8 Pt 2.68-2.91, 4 Cr 2.72-2.73
Pt 0.5009 0.5000 0.7601  8 Pt 2.68-2.91, 4 Cr 2.72-2.73

energy of formation from the pure elements = -0.73 eV per formula unit
symmetry = P2/m, No. 10
magnetization = 2.221 μB/f.u.
calculated total energy = -28.48 eV for the cell shown



[9]
VASP calculation (PBE) on an optimized crystal structure of Cr3Pt2.

Cell lengths 2.7465, 2.7465, 31.2004 Å; angles 90.00, 90.00, 120.00 degrees
With the nearest neighbours (Å) after each atom.
Element x y z (fractional)
Cr 0.0000 0.0000 0.0000  6 Pt 2.65, 6 Cr 2.75
Cr 0.0000 0.0000 0.1923  3 Cr 2.25
Cr 0.0000 0.0000 0.8077  3 Cr 2.25
Cr 0.3333 0.6667 0.4744  3 Cr 2.25
Cr 0.3333 0.6667 0.6667  6 Pt 2.65, 6 Cr 2.75
Cr 0.3333 0.6667 0.8590  3 Cr 2.25
Cr 0.6667 0.3333 0.1410  3 Cr 2.25
Cr 0.6667 0.3333 0.3333  6 Pt 2.65, 6 Cr 2.75
Cr 0.6667 0.3333 0.5256  3 Cr 2.25
Pt 0.0000 0.0000 0.4015  6 Cr 2.65-2.77, 6 Pt 2.75
Pt 0.0000 0.0000 0.5985  6 Cr 2.65-2.77, 6 Pt 2.75
Pt 0.3333 0.6667 0.0682  6 Cr 2.65-2.77, 6 Pt 2.75
Pt 0.3333 0.6667 0.2652  6 Cr 2.65-2.77, 6 Pt 2.75
Pt 0.6667 0.3333 0.7348  6 Cr 2.65-2.77, 6 Pt 2.75
Pt 0.6667 0.3333 0.9318  6 Cr 2.65-2.77, 6 Pt 2.75

energy of formation from the pure elements = 0.27 eV per formula unit
symmetry = R-3m, No. 166
magnetization = 0.000 μB/f.u.
calculated total energy = -122.05 eV for the cell shown
energy relative to the lowest polymorph listed for this composition = 114 meV per atom



[10]
VASP calculation (PBE) on an optimized crystal structure of CrPt.

Cell lengths 3.8909, 3.8909, 5.3819 Å; angles 90.00, 90.00, 120.00 degrees
With the nearest neighbours (Å) after each atom.
Element x y z (fractional)
Cr 0.3333 0.6667 0.2500  6 Pt 2.62
Cr 0.6667 0.3333 0.7500  6 Pt 2.62
Pt 0.0000 0.0000 0.0000  6 Cr 2.62, 2 Pt 2.69
Pt 0.0000 0.0000 0.5000  6 Cr 2.62, 2 Pt 2.69

energy of formation from the pure elements = 0.47 eV per formula unit
symmetry = P6_3/mmc, No. 194
magnetization = 3.389 μB/f.u.
calculated total energy = -30.40 eV for the cell shown



[11]
VASP calculation (PBE) on an optimized crystal structure of CrPt.

Cell lengths 5.1328, 5.1328, 5.1328 Å; angles 90.00, 90.00, 90.00 degrees
With the nearest neighbours (Å) after each atom.
Element x y z (fractional)
Cr 0.0000 0.0000 0.0000  6 Pt 2.57
Cr 0.0000 0.5000 0.5000  6 Pt 2.57
Cr 0.5000 0.0000 0.5000  6 Pt 2.57
Cr 0.5000 0.5000 0.0000  6 Pt 2.57
Pt 0.0000 0.0000 0.5000  6 Cr 2.57
Pt 0.0000 0.5000 0.0000  6 Cr 2.57
Pt 0.5000 0.0000 0.0000  6 Cr 2.57
Pt 0.5000 0.5000 0.5000  6 Cr 2.57

energy of formation from the pure elements = 0.81 eV per formula unit
symmetry = Fm-3m, No. 225
magnetization = 3.033 μB/f.u.
calculated total energy = -59.42 eV for the cell shown



[12]
VASP calculation (PBE) on an optimized crystal structure of CrPt.

Cell lengths 9.7518, 2.6686, 4.6990 Å; angles 90.00, 116.71, 90.00 degrees
With the nearest neighbours (Å) after each atom.
Element x y z (fractional)
Cr 0.1317 0.0000 0.2980  5 Cr 2.60-2.82, 7 Pt 2.62-2.76
Cr 0.3683 0.5000 0.7020  5 Cr 2.60-2.82, 7 Pt 2.62-2.76
Cr 0.6317 0.5000 0.2980  5 Cr 2.60-2.82, 7 Pt 2.62-2.76
Cr 0.8683 0.0000 0.7020  5 Cr 2.60-2.82, 7 Pt 2.62-2.76
Pt 0.1168 0.5000 0.7966  7 Cr 2.62-2.76, 5 Pt 2.67-2.78
Pt 0.3832 0.0000 0.2034  7 Cr 2.62-2.76, 5 Pt 2.67-2.78
Pt 0.6168 0.0000 0.7966  7 Cr 2.62-2.76, 5 Pt 2.67-2.78
Pt 0.8832 0.5000 0.2034  7 Cr 2.62-2.76, 5 Pt 2.67-2.78

energy of formation from the pure elements = -0.21 eV per formula unit
symmetry = C2/m, No. 12
magnetization = 0.000 μB/f.u.
calculated total energy = -63.48 eV for the cell shown